Version one
A geometry-optimized Cs8NaAu4 structure. Source: Alexandria, functional GGA-PBE.

a = 10.8114 Å, b = 10.8114 Å, c = 10.8114 Å
α = 60.00°, β = 60.00°, γ = 60.00°
Closest atoms and distances in Å follow each position.
Positions (direct):
1 Cs 0.3931 0.3931 0.3931  3 Au 3.61, 1 Na 3.79
2 Cs 0.3931 0.3931 0.8206  3 Au 3.61, 1 Na 3.79
3 Cs 0.3931 0.8206 0.3931  3 Au 3.61, 1 Na 3.79
4 Cs 0.3958 0.8681 0.8681  3 Au 3.68
5 Cs 0.8206 0.3931 0.3931  3 Au 3.61, 1 Na 3.79
6 Cs 0.8681 0.3958 0.8681  3 Au 3.68
7 Cs 0.8681 0.8681 0.3958  3 Au 3.68
8 Cs 0.8681 0.8681 0.8681  3 Au 3.68
9 Na 0.2500 0.2500 0.2500  4 Cs 3.79
10 Au 0.1173 0.6276 0.6276  6 Cs 3.61-3.68
11 Au 0.6276 0.1173 0.6276  6 Cs 3.61-3.68
12 Au 0.6276 0.6276 0.1173  6 Cs 3.61-3.68
13 Au 0.6276 0.6276 0.6276  6 Cs 3.61-3.68

Values from the calculation:
- space group = F-43m, No. 216



Version two
A geometry-optimized Cs8NaAu4 structure. Source: Alexandria, functional GGA-PBE.

a = 12.6588 Å, b = 12.6588 Å, c = 17.0807 Å
α = 130.11°, β = 130.11°, γ = 24.01°
Closest atoms and distances in Å follow each position.
Positions (direct):
1 Cs 0.0000 0.0000 0.0000  3 Au 3.62
2 Cs 0.0270 0.0270 0.7364  3 Au 3.62-3.64
3 Cs 0.2887 0.2887 0.9120  3 Au 3.62-3.64
4 Cs 0.3170 0.3170 0.6505  3 Au 3.62
5 Cs 0.3564 0.3564 0.3945  3 Au 3.61-3.63
6 Cs 0.6153 0.6153 0.5719  3 Au 3.61-3.62
7 Cs 0.7017 0.7017 0.0772  3 Au 3.61-3.62
8 Cs 0.9609 0.9609 0.2547  3 Au 3.61-3.63
9 Na 0.6598 0.6598 0.3261  10 Cs 4.94-5.00, 2 Na 5.27
10 Au 0.3294 0.3294 0.1595  6 Cs 3.61-3.64
11 Au 0.5094 0.5094 0.8637  6 Cs 3.62
12 Au 0.8075 0.8075 0.7864  6 Cs 3.62
13 Au 0.9878 0.9878 0.4900  6 Cs 3.61-3.64

Values from the calculation:
- space group = Cm, No. 8



Short version: version one is the least stable of them.



Version one
A geometry-optimized CsNa2AuO structure. Source: Alexandria, functional GGA-PBE.

a = 7.7538 Å, b = 7.7538 Å, c = 8.7335 Å
α = 90.00°, β = 90.00°, γ = 147.69°
Closest atoms and distances in Å follow each position.
Positions (direct):
1 Cs 0.0347 0.9653 0.7500  4 O 3.11
2 Cs 0.9653 0.0347 0.2500  4 O 3.11
3 Na 0.3580 0.6420 0.5443  1 O 2.15
4 Na 0.3580 0.6420 0.9557  1 O 2.15
5 Na 0.6420 0.3580 0.0443  1 O 2.15
6 Na 0.6420 0.3580 0.4557  1 O 2.15
7 Au 0.2348 0.7652 0.2500  6 Na 3.13-3.16
8 Au 0.7652 0.2348 0.7500  6 Na 3.13-3.16
9 O 0.5000 0.5000 0.0000  2 Na 2.15
10 O 0.5000 0.5000 0.5000  2 Na 2.15

Values from the calculation:
- space group = Cmcm, No. 63



Version two
A geometry-optimized CsNa2AuO structure. Source: Alexandria, functional GGA-PBE.

a = 4.7899 Å, b = 4.7899 Å, c = 5.9547 Å
α = 90.00°, β = 90.00°, γ = 90.00°
Closest atoms and distances in Å follow each position.
Positions (direct):
1 Cs 0.0000 0.0000 0.0000  2 O 2.98
2 Na 0.0000 0.5000 0.5000  2 O 2.39
3 Na 0.5000 0.0000 0.5000  2 O 2.39
4 Au 0.5000 0.5000 0.0000  4 Cs 3.39
5 O 0.0000 0.0000 0.5000  4 Na 2.39

Values from the calculation:
- space group = P4/mmm, No. 123



Short version: version one is the least stable of them.



Version one
A geometry-optimized CsNa2PbAu structure. Source: Alexandria, functional GGA-PBE.

a = 5.9977 Å, b = 5.9977 Å, c = 5.7113 Å
α = 90.00°, β = 90.00°, γ = 90.00°
Closest atoms and distances in Å follow each position.
Positions (direct):
1 Cs 0.0000 0.0000 0.0000  8 Na 4.14, 4 Au 4.24
2 Na 0.0000 0.5000 0.5000  2 Pb 3.00
3 Na 0.5000 0.0000 0.5000  2 Pb 3.00
4 Pb 0.5000 0.5000 0.5000  2 Au 2.86, 4 Na 3.00
5 Au 0.5000 0.5000 0.0000  2 Pb 2.86

Values from the calculation:
- space group = P4/mmm, No. 123



Version two
A geometry-optimized CsNa2PbAu structure. Source: Alexandria, functional GGA-PBE.

a = 5.8809 Å, b = 5.8809 Å, c = 5.5660 Å
α = 90.00°, β = 90.00°, γ = 90.00°
Closest atoms and distances in Å follow each position.
Positions (direct):
1 Cs 0.0000 0.0000 0.0000  8 Na 4.05, 4 Pb 4.16
2 Na 0.0000 0.5000 0.5000  2 Au 2.94
3 Na 0.5000 0.0000 0.5000  2 Au 2.94
4 Pb 0.5000 0.5000 0.0000  2 Au 2.78
5 Au 0.5000 0.5000 0.5000  2 Pb 2.78, 4 Na 2.94

Values from the calculation:
- space group = P4/mmm, No. 123



Short version: version one is the least stable of them.



Version one
A geometry-optimized CsNa2PdAu structure. Source: Alexandria, functional GGA-PBE.

a = 5.5076 Å, b = 5.5076 Å, c = 5.3787 Å
α = 90.00°, β = 90.00°, γ = 90.00°
Closest atoms and distances in Å follow each position.
Positions (direct):
1 Cs 0.0000 0.0000 0.0000  8 Na 3.85, 4 Au 3.89
2 Na 0.0000 0.5000 0.5000  2 Pd 2.75
3 Na 0.5000 0.0000 0.5000  2 Pd 2.75
4 Pd 0.5000 0.5000 0.5000  2 Au 2.69, 4 Na 2.75
5 Au 0.5000 0.5000 0.0000  2 Pd 2.69

Values from the calculation:
- space group = P4/mmm, No. 123



Version two
A geometry-optimized CsNa2PdAu structure. Source: Alexandria, functional GGA-PBE.

a = 5.5749 Å, b = 5.5749 Å, c = 5.3443 Å
α = 90.00°, β = 90.00°, γ = 90.00°
Closest atoms and distances in Å follow each position.
Positions (direct):
1 Cs 0.0000 0.0000 0.0000  8 Na 3.86, 4 Pd 3.94
2 Na 0.0000 0.5000 0.5000  2 Au 2.79
3 Na 0.5000 0.0000 0.5000  2 Au 2.79
4 Pd 0.5000 0.5000 0.0000  2 Au 2.67
5 Au 0.5000 0.5000 0.5000  2 Pd 2.67, 4 Na 2.79

Values from the calculation:
- space group = P4/mmm, No. 123



Short version: version two is the least stable of them.



Version one
A geometry-optimized Cs2RbNaAu structure. Source: Alexandria, functional GGA-PBE.

a = 8.9081 Å, b = 5.0637 Å, c = 13.4143 Å
α = 90.00°, β = 95.16°, γ = 90.00°
Closest atoms and distances in Å follow each position.
Positions (direct):
1 Cs 0.2189 0.2500 0.0291  2 Au 3.69, 2 Na 4.12
2 Cs 0.2607 0.2500 0.4150  2 Au 3.90, 2 Na 4.12, 1 Rb 4.16
3 Cs 0.7393 0.7500 0.5850  2 Au 3.90, 2 Na 4.12, 1 Rb 4.16
4 Cs 0.7811 0.7500 0.9709  2 Au 3.69, 2 Na 4.12
5 Rb 0.1695 0.7500 0.7344  2 Au 3.68
6 Rb 0.8305 0.2500 0.2656  2 Au 3.68
7 Na 0.4613 0.7500 0.2247  1 Au 3.12
8 Na 0.5387 0.2500 0.7753  1 Au 3.12
9 Au 0.1097 0.7500 0.2088  1 Na 3.12
10 Au 0.8903 0.2500 0.7912  1 Na 3.12

Values from the calculation:
- space group = P2_1/m, No. 11



Version two
A geometry-optimized Cs2RbNaAu structure. Source: Alexandria, functional GGA-PBE.

a = 7.0846 Å, b = 7.0846 Å, c = 6.9041 Å
α = 90.00°, β = 90.00°, γ = 90.00°
Closest atoms and distances in Å follow each position.
Positions (direct):
1 Cs 0.0000 0.5000 0.0000  2 Au 3.54
2 Cs 0.5000 0.0000 0.0000  2 Au 3.54
3 Rb 0.0000 0.0000 0.5000  2 Au 3.45
4 Na 0.5000 0.5000 0.5000  8 Cs 4.95, 4 Rb 5.01
5 Au 0.0000 0.0000 0.0000  2 Rb 3.45, 4 Cs 3.54

Values from the calculation:
- space group = P4/mmm, No. 123



Version three
A geometry-optimized Cs2RbNaAu structure. Source: Alexandria, functional GGA-PBE.

a = 7.7740 Å, b = 7.7740 Å, c = 5.5995 Å
α = 90.00°, β = 90.00°, γ = 90.00°
Closest atoms and distances in Å follow each position.
Positions (direct):
1 Cs 0.0000 0.5000 0.0000  2 Na 3.89
2 Cs 0.5000 0.0000 0.0000  2 Na 3.89
3 Rb 0.0000 0.0000 0.5000  8 Cs 4.79
4 Na 0.5000 0.5000 0.0000  2 Au 2.80
5 Au 0.5000 0.5000 0.5000  2 Na 2.80

Values from the calculation:
- space group = P4/mmm, No. 123



Short version: version three is the least stable of them.



Version one
A geometry-optimized CsNa2SiAu structure. Source: Alexandria, functional GGA-PBE.

a = 5.7852 Å, b = 5.7852 Å, c = 4.8310 Å
α = 90.00°, β = 90.00°, γ = 90.00°
Closest atoms and distances in Å follow each position.
Positions (direct):
1 Cs 0.0000 0.0000 0.0000  8 Na 3.77, 4 Au 4.09
2 Na 0.0000 0.5000 0.5000  2 Si 2.89
3 Na 0.5000 0.0000 0.5000  2 Si 2.89
4 Si 0.5000 0.5000 0.5000  2 Au 2.42
5 Au 0.5000 0.5000 0.0000  2 Si 2.42

Values from the calculation:
- space group = P4/mmm, No. 123



Version two
A geometry-optimized CsNa2SiAu structure. Source: Alexandria, functional GGA-PBE.

a = 5.8313 Å, b = 5.8313 Å, c = 4.7276 Å
α = 90.00°, β = 90.00°, γ = 90.00°
Closest atoms and distances in Å follow each position.
Positions (direct):
1 Cs 0.0000 0.0000 0.0000  8 Na 3.75, 4 Si 4.12
2 Na 0.0000 0.5000 0.5000  2 Au 2.92
3 Na 0.5000 0.0000 0.5000  2 Au 2.92
4 Si 0.5000 0.5000 0.0000  2 Au 2.36
5 Au 0.5000 0.5000 0.5000  2 Si 2.36

Values from the calculation:
- space group = P4/mmm, No. 123



Short version: version two is the least stable of them.